VASP calculation (PBE+U) on an optimized crystal structure of K3FeO4.

Geometry as extended XYZ:
```
32
Lattice="-4.3384 -4.0854 -4.9883 -2.8909 -4.3598 6.0851 -6.8442 5.9941 1.0431" Properties=species:S:1:pos:R:3 pbc="T T T"
K -12.8667 -1.2911 0.6023
K -10.8594 0.5073 3.4373
K -6.1611 -0.3774 -0.8483
K -7.9125 -2.0736 2.9882
K -1.2068 -1.1599 1.5375
K -9.9197 -3.8721 0.1532
K -9.3493 -0.2116 0.1692
K -6.0234 3.5754 0.2286
K -3.2141 -2.9584 -1.2975
K -4.1538 1.4210 1.9866
K -4.7243 -2.2395 1.9706
K -8.0501 -6.0265 1.9112
Fe -6.4965 -3.8155 -0.6004
Fe -11.1526 -2.7991 3.2067
Fe -7.5771 1.3645 2.7403
Fe -2.9207 0.3483 -1.0667
O -9.0009 2.2289 2.1676
O -4.1062 -4.4510 4.9980
O -6.4450 -2.4026 5.3545
O -3.6099 -0.6535 0.1687
O -5.0726 -4.6800 -0.0277
O -7.6284 2.0138 -1.3282
O -7.6286 -0.0484 -3.2146
O -5.9395 -2.9381 -1.9879
O -6.4385 2.5796 3.2275
O -7.6350 -5.0306 -1.0876
O -6.6619 0.1804 1.8111
O -9.9673 1.9999 -2.8582
O -6.4451 -4.4649 3.4681
O -8.1340 0.4870 4.1278
O -10.4637 -1.7976 1.9712
O -7.4116 -2.6315 0.3288
```

Properties
- V (A^3/atom) = 17.85
- size of the total moment (μB per formula unit) = 3.00
- crystal system = orthorhombic
- energy (eV per atom) = -4.86